Cs2Hg2F7 | PBE | relaxed

Summary:
Energy above the lowest structure with this stoichiometry = 106.4 meV/atom
Symmetry = Cmmm

Unit cell a=5.777 b=5.777 c=6.743 alpha=90.00 beta=90.00 gamma=96.54
Atoms (fractional coordinates):
Cs (0.237, 0.237, 0.000)
Cs (0.763, 0.763, 0.000)
Hg (0.273, 0.727, 0.500)
Hg (0.727, 0.273, 0.500)
F (0.000, 0.000, 0.500)
F (0.000, 0.500, 0.298)
F (0.000, 0.500, 0.702)
F (0.500, 0.000, 0.298)
F (0.500, 0.000, 0.702)
F (0.500, 0.500, 0.298)
F (0.500, 0.500, 0.702)

CsHgF2 | PBE | relaxed

Summary:
Energy above the lowest structure with this stoichiometry = 223.9 meV/atom
Symmetry = R-3m

Unit cell a=4.244 b=4.244 c=23.628 alpha=90.00 beta=90.00 gamma=120.00
Atoms (fractional coordinates):
Cs (0.000, 0.000, 0.000)
Cs (0.333, 0.667, 0.667)
Cs (0.667, 0.333, 0.333)
Hg (0.000, 0.000, 0.500)
Hg (0.333, 0.667, 0.167)
Hg (0.667, 0.333, 0.833)
F (0.000, 0.000, 0.404)
F (0.000, 0.000, 0.596)
F (0.333, 0.667, 0.071)
F (0.333, 0.667, 0.263)
F (0.667, 0.333, 0.737)
F (0.667, 0.333, 0.929)

CsHgF3 | PBE | relaxed

Summary:
Symmetry = R-3m

Unit cell a=5.053 b=5.053 c=15.340 alpha=90.00 beta=90.00 gamma=120.00
Atoms (fractional coordinates):
Cs (0.000, 0.000, 0.000)
Cs (0.333, 0.667, 0.667)
Cs (0.667, 0.333, 0.333)
Hg (0.000, 0.000, 0.500)
Hg (0.333, 0.667, 0.167)
Hg (0.667, 0.333, 0.833)
F (0.000, 0.500, 0.500)
F (0.167, 0.333, 0.833)
F (0.167, 0.833, 0.833)
F (0.333, 0.167, 0.167)
F (0.500, 0.000, 0.500)
F (0.500, 0.500, 0.500)
F (0.667, 0.833, 0.833)
F (0.833, 0.167, 0.167)
F (0.833, 0.667, 0.167)

Cs3Hg2F7 | PBE | relaxed

Summary:
Symmetry = I4/mmm

Unit cell a=12.429 b=12.429 c=12.429 alpha=158.16 beta=158.16 gamma=31.09
Atoms (fractional coordinates):
Cs (0.000, 0.000, 0.000)
Cs (0.184, 0.184, 0.000)
Cs (0.816, 0.816, 0.000)
Hg (0.403, 0.403, 0.000)
Hg (0.597, 0.597, 0.000)
F (0.096, 0.596, 0.500)
F (0.307, 0.307, 0.000)
F (0.404, 0.904, 0.500)
F (0.500, 0.500, 0.000)
F (0.596, 0.096, 0.500)
F (0.693, 0.693, 0.000)
F (0.904, 0.404, 0.500)

Cs2HgF | PBE | relaxed

Summary:
Energy above the lowest structure with this stoichiometry = 27.4 meV/atom
Symmetry = P-1

Unit cell a=4.289 b=7.723 c=10.609 alpha=105.28 beta=90.06 gamma=105.78
Atoms (fractional coordinates):
Cs (0.072, 0.136, 0.203)
Cs (0.170, 0.336, 0.609)
Cs (0.830, 0.664, 0.391)
Cs (0.928, 0.864, 0.797)
Hg (0.321, 0.645, 0.057)
Hg (0.679, 0.355, 0.943)
F (0.357, 0.719, 0.593)
F (0.643, 0.281, 0.407)

Cs2HgF | PBE | relaxed

Summary:
Energy above the lowest structure with this stoichiometry = 359.5 meV/atom
Symmetry = Fm-3m

Unit cell a=8.609 b=8.609 c=8.609 alpha=90.00 beta=90.00 gamma=90.00
Atoms (fractional coordinates):
Cs (0.250, 0.250, 0.250)
Cs (0.250, 0.250, 0.750)
Cs (0.250, 0.750, 0.250)
Cs (0.250, 0.750, 0.750)
Cs (0.750, 0.250, 0.250)
Cs (0.750, 0.250, 0.750)
Cs (0.750, 0.750, 0.250)
Cs (0.750, 0.750, 0.750)
Hg (0.000, 0.000, 0.000)
Hg (0.000, 0.500, 0.500)
Hg (0.500, 0.000, 0.500)
Hg (0.500, 0.500, 0.000)
F (0.000, 0.000, 0.500)
F (0.000, 0.500, 0.000)
F (0.500, 0.000, 0.000)
F (0.500, 0.500, 0.500)

Cs2HgF | PBE | relaxed

Summary:
Energy above the lowest structure with this stoichiometry = 31.5 meV/atom
Symmetry = Cm

Unit cell a=14.376 b=4.257 c=11.668 alpha=90.00 beta=114.46 gamma=90.00
Atoms (fractional coordinates):
Cs (0.000, 0.000, 0.000)
Cs (0.047, 0.000, 0.388)
Cs (0.143, 0.500, 0.789)
Cs (0.335, 0.000, 0.588)
Cs (0.500, 0.500, 0.000)
Cs (0.547, 0.500, 0.388)
Cs (0.643, 0.000, 0.789)
Cs (0.835, 0.500, 0.588)
Hg (0.233, 0.500, 0.241)
Hg (0.315, 0.000, 0.117)
Hg (0.733, 0.000, 0.241)
Hg (0.815, 0.500, 0.117)
F (0.176, 0.500, 0.566)
F (0.489, 0.500, 0.745)
F (0.676, 0.000, 0.566)
F (0.989, 0.000, 0.745)

CsHgF3 | PBE | relaxed

Summary:
Symmetry = P4mm

Unit cell a=4.000 b=4.000 c=7.203 alpha=90.00 beta=90.00 gamma=90.00
Atoms (fractional coordinates):
Cs (0.000, 0.000, 0.000)
Hg (0.500, 0.500, 0.442)
F (0.000, 0.000, 0.615)
F (0.000, 0.500, 0.280)
F (0.500, 0.000, 0.280)

Cs2HgF | PBE | relaxed

Summary:
Energy above the lowest structure with this stoichiometry = 66.2 meV/atom
Symmetry = I-42d

Unit cell a=8.740 b=8.740 c=10.284 alpha=90.00 beta=90.00 gamma=90.00
Atoms (fractional coordinates):
Cs (0.145, 0.250, 0.125)
Cs (0.250, 0.645, 0.375)
Cs (0.250, 0.855, 0.875)
Cs (0.355, 0.250, 0.625)
Cs (0.645, 0.750, 0.625)
Cs (0.750, 0.145, 0.875)
Cs (0.750, 0.355, 0.375)
Cs (0.855, 0.750, 0.125)
Hg (0.000, 0.000, 0.500)
Hg (0.000, 0.500, 0.750)
Hg (0.500, 0.000, 0.250)
Hg (0.500, 0.500, 0.000)
F (0.000, 0.000, 0.000)
F (0.000, 0.500, 0.250)
F (0.500, 0.000, 0.750)
F (0.500, 0.500, 0.500)

CsHg6F8 | PBE | relaxed

Summary:
Symmetry = R-3m

Unit cell a=8.178 b=8.178 c=8.178 alpha=49.57 beta=49.57 gamma=49.57
Atoms (fractional coordinates):
Cs (0.000, 0.000, 0.000)
Hg (0.038, 0.622, 0.622)
Hg (0.378, 0.378, 0.962)
Hg (0.378, 0.962, 0.378)
Hg (0.622, 0.038, 0.622)
Hg (0.622, 0.622, 0.038)
Hg (0.962, 0.378, 0.378)
F (0.180, 0.733, 0.733)
F (0.267, 0.267, 0.820)
F (0.267, 0.820, 0.267)
F (0.370, 0.370, 0.370)
F (0.630, 0.630, 0.630)
F (0.733, 0.180, 0.733)
F (0.733, 0.733, 0.180)
F (0.820, 0.267, 0.267)

Cs2HoHg3F12 | PBE | relaxed

Summary:
Symmetry = R-3m

Unit cell a=8.435 b=8.435 c=8.435 alpha=58.11 beta=58.11 gamma=58.11
Atoms (fractional coordinates):
Cs (0.169, 0.169, 0.169)
Cs (0.831, 0.831, 0.831)
Ho (0.500, 0.500, 0.500)
Hg (0.000, 0.500, 0.500)
Hg (0.500, 0.000, 0.500)
Hg (0.500, 0.500, 0.000)
F (0.176, 0.176, 0.553)
F (0.176, 0.553, 0.176)
F (0.186, 0.573, 0.573)
F (0.427, 0.427, 0.814)
F (0.427, 0.814, 0.427)
F (0.447, 0.824, 0.824)
F (0.553, 0.176, 0.176)
F (0.573, 0.186, 0.573)
F (0.573, 0.573, 0.186)
F (0.814, 0.427, 0.427)
F (0.824, 0.447, 0.824)
F (0.824, 0.824, 0.447)

CsInHgF6 | PBE | relaxed

Summary:
Symmetry = Imma

Unit cell a=8.055 b=8.055 c=8.055 alpha=122.12 beta=117.94 gamma=89.99
Atoms (fractional coordinates):
Cs (0.378, 0.128, 0.250)
Cs (0.622, 0.872, 0.750)
In (0.000, 0.500, 0.500)
In (0.500, 0.500, 0.000)
Hg (0.000, 0.000, 0.500)
Hg (0.000, 0.500, 0.000)
F (0.099, 0.849, 0.250)
F (0.106, 0.435, 0.286)
F (0.106, 0.819, 0.670)
F (0.286, 0.536, 0.750)
F (0.351, 0.181, 0.786)
F (0.351, 0.565, 0.170)
F (0.649, 0.435, 0.830)
F (0.649, 0.819, 0.214)
F (0.714, 0.464, 0.250)
F (0.894, 0.181, 0.330)
F (0.894, 0.565, 0.714)
F (0.901, 0.151, 0.750)

no.,formation energy from raw total energies (eV/atom),calculated density (Mg/m³)
1,-1.7636,5.94
2,-1.6953,5.02
3,-1.3818,5.73
4,-2.1288,5.83
5,-1.3853,4.96
6,-1.0532,5.05
7,-1.3812,4.96
8,-1.6659,5.63
9,-1.3465,4.10
10,-1.3210,8.48
11,-2.2865,5.16
12,-2.2574,5.06